TbDy2Al3, optimized geometry, DFT PBE; formation energy = -9.2 kcal/mol of atoms; density = 6.68 g/cm3; SG = No. 123; DOS(E_F) = 2.02 states/eV per cell
1.0
-0.052 -3.555 -0.482
0.558 0.468 -3.514
10.765 -0.383 1.658
Tb Dy Al
1 2 3
direct
0.500 0.500 0.500
0.500 0.500 0.834
0.500 0.500 0.166
0.000 0.000 0.000
0.000 0.000 0.668
0.000 0.000 0.332


SrLiRe2, optimized geometry, DFT PBE; formation energy = 17.9 kcal/mol of atoms; density = 10.60 g/cm3; SG = No. 10; E above lowest polymorph = 1.34 eV per formula unit; DOS(E_F) = 1.72 states/eV per cell
1.0
-3.440 -3.691 -1.522
0.145 -1.174 2.520
-3.734 2.598 2.140
Li Re Sr
1 2 1
direct
0.500 0.750 0.750
0.000 0.913 0.001
0.000 0.587 0.499
0.500 0.250 0.250


FeOsN3, optimized geometry, DFT PBE; uncorrected formation energy = 1.661 eV per atom; density = 10.21 g/cm3; SG = No. 221; DOS(E_F) = 4.74 states/eV per cell
1.0
3.605 0.000 0.000
0.000 3.605 0.000
0.000 0.000 3.605
Os Fe N
1 1 3
direct
0.500 0.500 0.500
0.000 0.000 0.000
0.000 0.500 0.000
0.000 0.000 0.500
0.500 0.000 0.000


TiCuGeH, optimized geometry, DFT PBE; electronic total energy = -5.3050 eV/atom; density = 6.71 g/cm3; SG = No. 129; DOS(E_F) = 2.44 states/eV per cell
1.0
3.648 0.000 0.000
0.000 3.648 0.000
0.000 0.000 6.880
Ti Cu Ge H
2 2 2 2
direct
0.000 0.500 0.868
0.500 0.000 0.132
0.000 0.000 0.500
0.500 0.500 0.500
0.500 0.000 0.736
0.000 0.500 0.264
0.500 0.500 0.000
0.000 0.000 0.000


Mg2RuBr, optimized geometry, DFT PBE; uncorrected formation energy = 0.033 eV per atom; density = 5.15 g/cm3; SG = No. 25; E above lowest polymorph = 1.01 eV per formula unit; DOS(E_F) = 2.73 states/eV per cell
1.0
4.690 0.000 0.000
0.000 3.234 -0.004
0.000 0.005 4.882
Br Mg Ru
1 2 1
direct
0.500 0.625 0.790
0.000 0.125 0.944
0.500 0.125 0.335
0.000 0.625 0.431


MnTlCo2Br8, optimized geometry, DFT PBE; uncorrected formation energy = -0.453 eV per atom; density = 4.55 g/cm3; SG = No. 148; DOS(E_F) = 16.48 states/eV per cell
1.0
-4.872 2.359 -3.865
-1.608 -3.162 -5.626
-8.610 -5.630 1.694
Mn Tl Co Br
1 1 2 8
direct
0.000 0.000 0.000
0.500 0.500 0.500
0.254 0.254 0.237
0.746 0.746 0.763
0.174 0.174 0.477
0.621 0.276 0.165
0.826 0.826 0.523
0.937 0.621 0.165
0.063 0.379 0.835
0.276 0.937 0.165
0.724 0.063 0.835
0.379 0.724 0.835


Which value of DOS(E_F) does entry 5 give? 2.73 states/eV per cell